Entry from Alexandria: LiMg3Ga3Ni2 after structural relaxation (PBE).

The density of states at the Fermi level is 0.39 states/eV/atom. Its total energy is -3.142 eV per atom.

The structure in POSCAR format:
```
LiMg3Ga3Ni2
1.0
7.426 0.000 0.000
-3.713 6.431 0.000
0.000 0.000 2.916
Li Mg Ga Ni
1 3 3 2
Direct
0.000 0.000 0.000
0.000 0.695 0.500
0.305 0.305 0.500
0.695 0.000 0.500
0.000 0.366 0.000
0.366 0.000 0.000
0.634 0.634 0.000
0.333 0.667 0.500
0.667 0.333 0.500
```



Entry from Alexandria: SbOsRu2 after structural relaxation (PBE).

Its formation energy without anion corrections is 525 meV per atom. The density of states at the Fermi level is 1.14 states/eV/atom. Its total energy is -7.951 eV per atom.

The structure in POSCAR format:
```
SbOsRu2
1.0
1.461 0.844 8.607
-1.461 0.844 8.607
0.000 -1.687 8.607
Sb Os Ru
1 1 2
Direct
0.000 0.000 0.000
0.246 0.246 0.246
0.499 0.499 0.499
0.749 0.749 0.749
```



Entry from Alexandria: PmPd3Pt after structural relaxation (PBE).

The density of states at the Fermi level is 1.31 states/eV/atom. Its total energy is -5.770 eV per atom.

The structure in POSCAR format:
```
PmPd3Pt
1.0
4.448 0.000 0.000
0.000 6.481 0.000
0.000 0.000 6.543
Pm Pd Pt
2 6 2
Direct
0.250 0.250 0.240
0.750 0.750 0.760
0.250 0.049 0.753
0.250 0.451 0.753
0.250 0.750 0.453
0.750 0.250 0.547
0.750 0.549 0.247
0.750 0.951 0.247
0.250 0.750 0.056
0.750 0.250 0.944
```



Entry from Alexandria: MgSe2Br after structural relaxation (PBE).

Its formation energy without anion corrections is -406 meV per atom. The density of states at the Fermi level is 1.41 states/eV/atom. Its total energy is -2.966 eV per atom.

The structure in POSCAR format:
```
MgSe2Br
1.0
2.060 1.189 7.775
-2.060 1.189 7.775
0.000 -2.379 7.775
Mg Se Br
1 2 1
Direct
0.000 0.000 0.000
0.390 0.390 0.390
0.610 0.610 0.610
0.500 0.500 0.500
```



Entry from Alexandria: Ca4Pd3Au after structural relaxation (PBE).

The density of states at the Fermi level is 0.33 states/eV/atom. Its total energy is -4.068 eV per atom.

The structure in POSCAR format:
```
Ca4Pd3Au
1.0
10.073 0.000 0.000
0.000 7.119 0.000
0.000 0.000 5.037
Ca Pd Au
8 6 2
Direct
0.000 0.244 0.000
0.000 0.756 0.000
0.250 0.244 0.499
0.250 0.756 0.499
0.500 0.244 0.000
0.500 0.756 0.000
0.750 0.244 0.501
0.750 0.756 0.501
0.000 0.000 0.500
0.250 0.000 0.998
0.250 0.500 0.999
0.500 0.000 0.500
0.750 0.000 0.002
0.750 0.500 0.001
0.000 0.500 0.500
0.500 0.500 0.500
```



Entry from Alexandria: BiTeS2 after structural relaxation (PBE).

Its formation energy without anion corrections is 218 meV per atom. The density of states at the Fermi level is 0.56 states/eV/atom. Its total energy is -3.601 eV per atom.

The structure in POSCAR format:
```
BiTeS2
1.0
1.872 1.081 9.121
-1.872 1.081 9.121
0.000 -2.162 9.121
Bi Te S
1 1 2
Direct
0.000 0.000 0.000
0.500 0.500 0.500
0.103 0.103 0.103
0.897 0.897 0.897
```



Entry from Alexandria: PrGdAg2 after structural relaxation (PBE).

The density of states at the Fermi level is 1.05 states/eV/atom. Its total energy is -6.415 eV per atom.

The structure in POSCAR format:
```
PrGdAg2
1.0
3.720 0.000 0.000
0.000 3.720 0.000
0.000 0.000 7.476
Pr Gd Ag
1 1 2
Direct
0.000 0.000 0.000
0.000 0.000 0.500
0.500 0.500 0.266
0.500 0.500 0.734
```



Entry from Alexandria: FePRh2 after structural relaxation (PBE).

The density of states at the Fermi level is 0.42 states/eV/atom. Its total energy is -7.374 eV per atom.

The structure in POSCAR format:
```
FePRh2
1.0
2.827 0.000 0.000
0.000 2.827 0.000
0.000 0.000 6.669
Fe P Rh
1 1 2
Direct
0.000 0.000 0.000
0.000 0.000 0.500
0.500 0.500 0.281
0.500 0.500 0.719
```



What did the first record say?
Entry from Alexandria: LiMg3Ga3Ni2 after structural relaxation (PBE).

The density of states at the Fermi level is 0.39 states/eV/atom. Its total energy is -3.142 eV per atom.

The structure in POSCAR format:
```
LiMg3Ga3Ni2
1.0
7.426 0.000 0.000
-3.713 6.431 0.000
0.000 0.000 2.916
Li Mg Ga Ni
1 3 3 2
Direct
0.000 0.000 0.000
0.000 0.695 0.500
0.305 0.305 0.500
0.695 0.000 0.500
0.000 0.366 0.000
0.366 0.000 0.000
0.634 0.634 0.000
0.333 0.667 0.500
0.667 0.333 0.500
```



- Which value of total energy does entry 4 give?
  -2.966 eV per atom



- What is the total energy in the eighth record?
  -7.374 eV per atom



- Which of these has the highest total energy?
  MgSe2Br